Record 1
CsCr2H2O6 | GGA+U | relaxed

Summary:
magnetic moment = 3.0 μB/f.u.
final energy = -6.158 eV/atom

Lattice parameters (Å, degrees): 5.4062 5.4636 6.5863 92.29 100.71 115.32
With the nearest neighbours (Å) after each atom.
Space group P-1 (No. 2)
One atom of each set of equivalent atoms:
Cs 0.0000 0.0000 0.0000 (multiplicity 1)  8 O 3.24-3.47, 2 H 3.29
Cr 0.4758 0.7474 0.4098 (multiplicity 2)  2 O 1.65-1.82
H 0.0434 0.2702 0.4689 (multiplicity 2)  1 O 1.03
O 0.2499 0.3590 0.4569 (multiplicity 2)  1 H 1.03
O 0.2627 0.8728 0.5241 (multiplicity 2)  1 H 1.51
O 0.3971 0.6973 0.1526 (multiplicity 2)  1 Cr 1.65



Record 2
CsCrH24S2O20 | GGA+U | relaxed

Summary:
magnetic moment = 2.6 μB/f.u.
final energy = -5.310 eV/atom

Lattice parameters (Å, degrees): 12.4879 12.4879 12.4879 90.00 90.00 90.00
With the nearest neighbours (Å) after each atom.
Space group Pa-3 (No. 205)
One atom of each set of equivalent atoms:
Cs 0.0000 0.0000 0.0000 (multiplicity 4)  12 O 3.45-3.50, 2 S 3.71, 12 H 3.77-3.78
Cr 0.0000 0.0000 0.5000 (multiplicity 4)  6 O 2.00
H 0.0085 0.7382 0.7240 (multiplicity 24)  1 O 0.99
H 0.0229 0.2039 0.5588 (multiplicity 24)  1 O 1.00
H 0.0233 0.7065 0.0674 (multiplicity 24)  1 O 1.03
H 0.1274 0.7302 0.6846 (multiplicity 24)  1 O 0.99
S 0.1716 0.1716 0.1716 (multiplicity 8)  4 O 1.49-1.50
O 0.0013 0.6597 0.0033 (multiplicity 24)  2 H 1.00-1.03
O 0.0527 0.7184 0.6608 (multiplicity 24)  2 H 0.99
O 0.0628 0.2202 0.1621 (multiplicity 24)  1 S 1.49
O 0.2411 0.2411 0.2411 (multiplicity 8)  1 S 1.50